Here is a relaxed La2TbTm crystal from the Alexandria database. Energies are from PBE.

## Properties
crystal system = tetragonal
space group = P4/mmm, No. 123
calculated formation energy = 2 kJ per mole of atoms

abc: 3.713 3.713 9.870
angles: 90.00 90.00 90.00
Atoms (fractional coordinates):
1 La 0.000 0.000 0.247
2 La 0.000 0.000 0.753
3 Tb 0.500 0.500 0.500
4 Tm 0.500 0.500 0.000

Here is a relaxed CaCuWSe2 crystal from the Alexandria database. Energies are from PBE.

## Properties
crystal system = tetragonal
space group = P4/mmm, No. 123
energy relative to the elements, uncorrected = 1.283 eV/atom

abc: 5.254 5.254 4.793
angles: 90.00 90.00 90.00
Atoms (fractional coordinates):
1 Ca 0.000 0.000 0.000
2 Cu 0.000 0.000 0.500
3 W 0.500 0.500 0.500
4 Se 0.000 0.500 0.000
5 Se 0.500 0.000 0.000

Here is a relaxed HfAgBr2 crystal from the Alexandria database. Energies are from PBE.

## Properties
crystal system = tetragonal
space group = I-42d, No. 122
energy relative to the elements, uncorrected = -0.186 eV/atom

abc: 7.391 7.391 7.391
angles: 98.25 98.25 135.47
Atoms (fractional coordinates):
1 Hf 0.000 0.000 0.000
2 Hf 0.750 0.250 0.500
3 Ag 0.250 0.750 0.500
4 Ag 0.500 0.500 0.000
5 Br 0.375 0.033 0.158
6 Br 0.783 0.625 0.658
7 Br 0.875 0.217 0.842
8 Br 0.967 0.125 0.342

Here is a relaxed CePmVN4 crystal from the Alexandria database. Energies are from PBE.

## Properties
crystal system = orthorhombic
space group = Cmcm, No. 63
energy relative to the elements, uncorrected = -1.233 eV/atom

abc: 6.822 6.822 5.379
angles: 90.00 90.00 133.55
Atoms (fractional coordinates):
1 Ce 0.105 0.895 0.750
2 Ce 0.895 0.105 0.250
3 Pm 0.389 0.611 0.750
4 Pm 0.611 0.389 0.250
5 V 0.270 0.730 0.250
6 V 0.730 0.270 0.750
7 N 0.000 0.500 0.000
8 N 0.000 0.500 0.500
9 N 0.066 0.934 0.250
10 N 0.416 0.584 0.250
11 N 0.500 0.000 0.000
12 N 0.500 0.000 0.500
13 N 0.584 0.416 0.750
14 N 0.934 0.066 0.750

Here is a relaxed Y2Co crystal from the Alexandria database. Energies are from PBE.

## Properties
crystal system = cubic
space group = Fd-3m, No. 227
calculated formation energy = 105 kJ per mole of atoms

abc: 6.057 6.057 6.057
angles: 60.00 60.00 60.00
Atoms (fractional coordinates):
1 Y 0.000 0.000 0.000
2 Y 0.000 0.000 0.500
3 Y 0.000 0.500 0.000
4 Y 0.500 0.000 0.000
5 Co 0.375 0.375 0.375
6 Co 0.625 0.625 0.625

Here is a relaxed Y2TlHIr crystal from the Alexandria database. Energies are from PBE.

## Properties
crystal system = tetragonal
space group = P4/mmm, No. 123

abc: 5.137 5.137 3.681
angles: 90.00 90.00 90.00
Atoms (fractional coordinates):
1 Y 0.000 0.500 0.000
2 Y 0.500 0.000 0.000
3 Tl 0.000 0.000 0.500
4 H 0.500 0.500 0.000
5 Ir 0.500 0.500 0.500

no.,magnetic moment (μB/f.u.),uncorrected energy (eV/atom)
1,0.0,-4.71
2,3.4,-3.92
3,0.7,-4.22
4,0.0,-8.82
5,1.4,-5.58
6,0.0,-5.99